# Hf3Nb4Ga4

A relaxed Hf3Nb4Ga4 crystal (PBE-GGA, the Alexandria database).

The structure in extended XYZ format:
```
11
Lattice="-2.438 -2.550 0.327 3.962 -2.950 6.538 -4.679 7.047 0.880" Properties=species:S:1:pos:R:3 pbc="T T T"
Nb -3.373 3.410 1.448
Nb -1.726 2.184 4.166
Nb -1.429 -0.637 3.579
Nb 0.218 -1.863 6.297
Ga 1.932 -3.621 5.363
Ga -3.304 1.013 2.459
Ga 0.149 0.534 5.285
Ga -0.408 -1.879 1.501
Hf -2.239 0.542 6.736
Hf -0.916 1.005 1.009
Hf 1.981 -1.475 3.269
```

## Properties
Energy of formation from the pure elements (eV per atom): -0.210
Fermi-level density of states (states/eV per cell): 9.06
Total energy (eV/cell): -84.56
Spin magnetization (μB/atom): 0.000